CeNp2Tl3Te6 | the Alexandria database | PBE | optimized geometry; density of states at the Fermi level = 26.28 states/eV/cell; SG = C2/m (12); energy relative to the elements, uncorrected = -0.7094 eV/atom; magnetization = 9.0 μB/f.u.
1.0
3.920 -6.788 0.000
3.920 6.788 0.000
-2.613 0.000 8.196
Ce Np Tl Te
1 2 3 6
Cartesian
0.000 0.000 0.000 Ce
3.920 2.265 0.000 Np
3.920 -2.265 0.000 Np
2.613 4.534 4.098 Tl
2.613 0.000 4.098 Tl
2.613 -4.534 4.098 Tl
1.325 2.293 1.770 Te
0.036 0.000 6.435 Te
1.325 -2.293 1.770 Te
3.902 2.293 6.426 Te
5.190 0.000 1.761 Te
3.902 -2.293 6.426 Te